No. 1
# La2MnBeAs

A relaxed structure of La2MnBeAs (PBE, Alexandria).

## Properties
Volume = 26.68 A^3/atom
Raw total energy = -25.147 eV per cell

Cell: 5.762 5.762 4.017 Å, 90.00 90.00 90.00°
Space group P4/mmm (No. 123)
Symmetry-distinct sites (fractional):
1 La 0.000 0.500 0.000 (multiplicity 2)
2 Mn 0.000 0.000 0.500 (multiplicity 1)
3 Be 0.500 0.500 0.500 (multiplicity 1)
4 As 0.500 0.500 0.000 (multiplicity 1)


No. 2
# La2BeAsN

A relaxed structure of La2BeAsN (PBE, Alexandria).

## Properties
Volume = 19.24 A^3/atom
Raw total energy = -31.331 eV per cell

Cell: 5.393 5.393 3.307 Å, 90.00 90.00 90.00°
Space group P4/mmm (No. 123)
Symmetry-distinct sites (fractional):
1 La 0.000 0.500 0.000 (multiplicity 2)
2 Be 0.000 0.000 0.500 (multiplicity 1)
3 As 0.500 0.500 0.500 (multiplicity 1)
4 N 0.000 0.000 0.000 (multiplicity 1)